# 1
ErGaCoPd | PBE | relaxed

Geometry as POSCAR:
```
ErGaCoPd
1.0
6.3998 0.0000 0.0000
0.0000 6.3998 0.0000
0.0000 0.0000 6.3998
Er Ga Co Pd
4 4 4 4
direct
0.0000 0.0000 0.0000
0.0000 0.5000 0.5000
0.5000 0.0000 0.5000
0.5000 0.5000 0.0000
0.0000 0.0000 0.5000
0.0000 0.5000 0.0000
0.5000 0.0000 0.0000
0.5000 0.5000 0.5000
0.2500 0.2500 0.7500
0.2500 0.7500 0.2500
0.7500 0.2500 0.2500
0.7500 0.7500 0.7500
0.2500 0.2500 0.2500
0.2500 0.7500 0.7500
0.7500 0.2500 0.7500
0.7500 0.7500 0.2500
```

Values from the calculation:
ΔH_f (0 K)   -0.49 eV per atom
Total moment   2.62 μB per cell

=====

# 2
Er5Cd2Ni2 | PBE | relaxed

Geometry as POSCAR:
```
Er5Cd2Ni2
1.0
8.0805 -3.6719 0.0000
8.0805 3.6719 0.0000
0.0000 0.0000 7.3187
Er Cd Ni
10 4 4
direct
0.0000 0.0000 0.0000
0.0622 0.7037 0.6760
0.2037 0.5622 0.1760
0.2963 0.9378 0.6760
0.4378 0.7963 0.1760
0.5000 0.5000 0.5000
0.5622 0.2037 0.8240
0.7037 0.0622 0.3240
0.7963 0.4378 0.8240
0.9378 0.2963 0.3240
0.2221 0.2221 0.0000
0.2779 0.2779 0.5000
0.7221 0.7221 0.5000
0.7779 0.7779 0.0000
0.1211 0.8789 0.3790
0.3789 0.6211 0.8790
0.6211 0.3789 0.1210
0.8789 0.1211 0.6210
```

Values from the calculation:
ΔH_f (0 K)   -0.31 eV per atom
Total moment   0.00 μB per cell